Below is a relaxed structure of BaLaBiSb2, with properties calculated at the PBE level.

Cell lengths 6.041, 6.041, 6.111 Å; angles 90.00, 90.00, 90.00 degrees
Space group P4/mmm (No. 123)
Unique sites:
Ba 0.000 0.000 0.000 [1 per cell]
La 0.500 0.500 0.500 [1 per cell]
Bi 0.500 0.500 0.000 [1 per cell]
Sb 0.000 0.500 0.500 [2 per cell]

E in Ry/atom: -0.301
E_form (uncorrected) in eV/atom: -0.295

Below is a relaxed structure of BeCo2Mo, with properties calculated at the PBE level.

Cell lengths 2.666, 2.666, 6.127 Å; angles 90.00, 90.00, 90.00 degrees
Space group P4/mmm (No. 123)
Unique sites:
Be 0.000 0.000 0.000 [1 per cell]
Co 0.500 0.500 0.209 [2 per cell]
Mo 0.000 0.000 0.500 [1 per cell]

DFT formation energy in meV per atom: -161.9
E in Ry/atom: -0.541

Which of these has the lowest E?
BeCo2Mo